A geometry-optimized Ag3AuI8 structure, computed with PBE-GGA.

- spin magnetization (μB per cell) = 0.00

Lattice parameters (Å, degrees): 17.024 8.127 7.525 90.00 115.54 90.00
Space group C2/m (No. 12)
One atom of each set of equivalent atoms:
Ag1 0.000 0.000 0.000 [2 per cell]
Ag2 0.250 0.250 0.500 [4 per cell]
Au1 0.000 0.500 0.000 [2 per cell]
I1 0.004 0.263 0.257 [8 per cell]
I2 0.242 0.000 0.235 [4 per cell]
I3 0.244 0.000 0.751 [4 per cell]

***

A geometry-optimized AgAuI3 structure, computed with PBE-GGA.

- E above lowest polymorph (eV per atom) = 0.317
- spin magnetization (μB per cell) = 0.00

Lattice parameters (Å, degrees): 5.676 5.676 5.676 90.00 90.00 90.00
Space group Pm-3m (No. 221)
One atom of each set of equivalent atoms:
Ag1 0.000 0.000 0.000 [1 per cell]
Au1 0.500 0.500 0.500 [1 per cell]
I1 0.000 0.500 0.500 [3 per cell]

***

Quick rundown of V, same order as above: 939.42; 182.82 Å³ per cell
Quick rundown of formation energy from raw total energies, same order as above: -0.104; 0.253 eV/atom
Quick rundown of density of states at the Fermi level, same order as above: 13.797; 1.457 states/eV/cell